A geometry-optimized TePI2Br structure, computed with PBE-GGA.

The structure belongs to space group P4/mmm (No. 123); the cell edges are 5.907, 5.907 and 5.859 Å and the angles 90.00°, 90.00° and 90.00°. Symmetry generates all atoms from Te at (0.000, 0.000, 0.000), P at (0.500, 0.500, 0.000), I at (0.000, 0.500, 0.500) and Br at (0.000, 0.000, 0.500).

The calculation puts the formation energy (no corrections) at 1074 meV/atom. The calculation puts the distance to the lowest polymorph of the same formula at 3.42 eV/f.u.